! CdCo2F2, optimized geometry, DFT GGA+U; values from VASP
&SYSTEM
  ibrav = 0, nat = 10, ntyp = 3
/
ATOMIC_SPECIES
Cd 112.41 Cd.upf
Co 58.93 Co.upf
F 19.00 F.upf
CELL_PARAMETERS angstrom
3.6704 0.0000 0.0000
0.0000 3.6704 0.0000
0.0000 0.0000 9.9470
ATOMIC_POSITIONS crystal
Cd 0.0000 0.0000 0.0000
Cd 0.5000 0.5000 0.5000
Co 0.0000 0.0000 0.3784
Co 0.0000 0.0000 0.6216
Co 0.5000 0.5000 0.1216
Co 0.5000 0.5000 0.8784
F 0.0000 0.5000 0.2500
F 0.0000 0.5000 0.7500
F 0.5000 0.0000 0.2500
F 0.5000 0.0000 0.7500
! * crystal system: tetragonal
! * electronic total energy: -3.788 eV/atom
! * total magnetization: 9.71 Bohr magnetons per cell